Record 1
Density functional theory data (PBE) for an optimized crystal structure of YAl.

POSCAR file:
```
YAl
1.0
4.589 0.000 0.000
-2.294 3.974 0.000
0.000 0.000 10.848
Y Al
4 4
direct
0.333 0.667 0.097
0.333 0.667 0.403
0.667 0.333 0.597
0.667 0.333 0.903
0.000 0.000 0.250
0.000 0.000 0.750
0.333 0.667 0.750
0.667 0.333 0.250
```

Computed properties:
Mass density, Mg/m³: 3.891
Energy of formation from the pure elements, kJ/mol of atoms: -21.5
Magnetization, μB/atom: 0.00

=====

Record 2
Density functional theory data (PBE) for an optimized crystal structure of VCr3Pt12.

POSCAR file:
```
VCr3Pt12
1.0
3.915 0.000 0.000
0.000 3.915 0.000
0.000 0.000 15.707
V Cr Pt
1 3 12
direct
0.000 0.000 0.000
0.000 0.000 0.252
0.000 0.000 0.500
0.000 0.000 0.748
0.000 0.500 0.123
0.000 0.500 0.375
0.000 0.500 0.625
0.000 0.500 0.877
0.500 0.000 0.123
0.500 0.000 0.375
0.500 0.000 0.625
0.500 0.000 0.877
0.500 0.500 0.000
0.500 0.500 0.249
0.500 0.500 0.500
0.500 0.500 0.751
```

Computed properties:
Mass density, Mg/m³: 17.573
Energy of formation from the pure elements, kJ/mol of atoms: -31.7
Magnetization, μB/atom: 0.57

=====

Record 3
Density functional theory data (PBE) for an optimized crystal structure of Gd2TlPt.

POSCAR file:
```
Gd2TlPt
1.0
3.588 0.000 0.000
0.000 3.588 0.000
0.000 0.000 7.785
Gd Tl Pt
2 1 1
direct
0.000 0.000 0.218
0.000 0.000 0.782
0.500 0.500 0.500
0.500 0.500 0.000
```

Computed properties:
Excess energy over the best structure of this formula in the dataset, eV/atom: 0.000
Mass density, Mg/m³: 11.827
Energy of formation from the pure elements, kJ/mol of atoms: -75.1
Magnetization, μB/atom: 3.58

=====

| no. | volume (Å³/cell) |
| --- | --- |
| 1 | 198 |
| 2 | 241 |
| 3 | 100 |